1.
# Li2Mg3Ga2

Crystalline Li2Mg3Ga2 at its relaxed geometry (PBE, the Alexandria database).

```
Li2Mg3Ga2
1.0
-1.570 2.246 9.318
1.570 -2.246 9.318
1.570 2.246 -9.318
Li Mg Ga
2 3 2
Cartesian
0.000 0.000 1.306 Li
0.000 0.000 17.331 Li
1.570 0.000 3.774 Mg
0.000 0.000 9.318 Mg
0.000 2.246 5.544 Mg
1.570 0.000 6.675 Ga
0.000 2.246 2.643 Ga
```

Summary:
energy relative to the elements = -3.39 kcal/mol of atoms
symmetry = No. 71
calculated total energy = -15.7 eV per cell


2.
# RbNaAl2Br8

Crystalline RbNaAl2Br8 at its relaxed geometry (PBE, the Alexandria database).

```
RbNaAl2Br8
1.0
3.489 2.014 10.157
-3.489 2.014 10.157
0.000 -4.029 10.157
Rb Na Al Br
1 1 2 8
Cartesian
0.000 0.000 0.000 Rb
0.000 0.000 15.236 Na
0.000 0.000 7.642 Al
0.000 0.000 22.830 Al
-1.275 -2.125 13.397 Br
-2.478 0.042 17.075 Br
0.000 0.000 9.968 Br
-1.203 2.167 13.397 Br
1.203 -2.167 17.075 Br
0.000 0.000 20.504 Br
2.478 -0.042 13.397 Br
1.275 2.125 17.075 Br
```

Summary:
symmetry = No. 148
calculated total energy = -39.3 eV per cell


3.
# Tm2GaSi2Rh5

Crystalline Tm2GaSi2Rh5 at its relaxed geometry (PBE, the Alexandria database).

```
Tm2GaSi2Rh5
1.0
9.645 0.000 0.000
0.000 9.645 0.000
0.000 0.000 3.451
Tm Ga Si Rh
4 2 4 10
Cartesian
1.682 3.140 0.000 Tm
3.140 7.963 0.000 Tm
6.504 1.682 0.000 Tm
7.963 6.504 0.000 Tm
0.000 0.000 0.000 Ga
4.822 4.822 0.000 Ga
1.198 6.021 0.000 Si
3.624 1.198 0.000 Si
6.021 8.447 0.000 Si
8.447 3.624 0.000 Si
0.000 4.822 1.726 Rh
0.665 7.619 1.726 Rh
2.026 0.665 1.726 Rh
2.796 5.487 1.726 Rh
4.158 2.796 1.726 Rh
4.822 0.000 1.726 Rh
5.487 6.848 1.726 Rh
6.848 4.158 1.726 Rh
7.619 8.980 1.726 Rh
8.980 2.026 1.726 Rh
```

Summary:
symmetry = No. 127
calculated total energy = -138.9 eV per cell


4.
# Ba3LiTl3

Crystalline Ba3LiTl3 at its relaxed geometry (PBE, the Alexandria database).

```
Ba3LiTl3
1.0
6.597 -2.282 0.000
6.597 2.282 0.000
-4.753 0.000 17.655
Ba Li Tl
6 2 6
Cartesian
-0.460 0.000 1.967 Ba
-0.503 0.000 7.433 Ba
-0.498 0.000 12.869 Ba
8.938 0.000 4.786 Ba
8.943 0.000 10.222 Ba
8.900 0.000 15.688 Ba
3.381 0.000 2.072 Li
5.059 0.000 15.583 Li
-0.453 0.000 16.955 Tl
3.207 0.000 7.489 Tl
5.164 0.000 4.657 Tl
3.276 0.000 12.998 Tl
5.233 0.000 10.166 Tl
8.893 0.000 0.700 Tl
```

Summary:
energy relative to the elements = -7.53 kcal/mol of atoms
symmetry = No. 12
calculated total energy = -34.1 eV per cell


5.
# AcMnSeS2

Crystalline AcMnSeS2 at its relaxed geometry (PBE, the Alexandria database).

```
AcMnSeS2
1.0
4.722 0.000 0.000
0.000 4.722 0.000
0.000 0.000 5.259
Ac Mn Se S
1 1 1 2
Cartesian
0.000 0.000 0.000 Ac
2.361 2.361 2.070 Mn
2.361 2.361 4.621 Se
0.000 2.361 1.920 S
2.361 0.000 1.920 S
```

Summary:
symmetry = No. 99
calculated total energy = -31.3 eV per cell


6.
# ScBe2Tc

Crystalline ScBe2Tc at its relaxed geometry (PBE, the Alexandria database).

```
ScBe2Tc
1.0
0.000 2.953 2.953
2.953 0.000 2.953
2.953 2.953 0.000
Sc Be Tc
1 2 1
Cartesian
0.000 0.000 0.000 Sc
1.477 1.477 1.477 Be
4.430 4.430 4.430 Be
2.953 2.953 2.953 Tc
```

Summary:
energy relative to the elements = -1.61 kcal/mol of atoms
offset from the most stable computed form = 59 kJ/mol of formula units
symmetry = No. 225
calculated total energy = -24.4 eV per cell


Number 1: DOS(E_F) 2.752 states/eV/f.u., magnetization 0.000 μB per cell. Number 2: DOS(E_F) 0.000 states/eV/f.u., magnetization 0.000 μB per cell. Number 3: DOS(E_F) 3.097 states/eV/f.u., magnetization 0.000 μB per cell. Number 4: DOS(E_F) 5.662 states/eV/f.u., magnetization 0.000 μB per cell. Number 5: DOS(E_F) 1.245 states/eV/f.u., magnetization 3.984 μB per cell. Number 6: DOS(E_F) 3.083 states/eV/f.u., magnetization 0.000 μB per cell.